No. 1
Material: Mn2ZnPb
Method: DFT, GGA-PBE
State: relaxed

Cell lengths 5.8940, 9.0490, 3.0666 Å; angles 90.00, 117.26, 90.00 degrees
Last column: nearest neighbours and their distance in Å.
Space group C2/m (No. 12)
Inequivalent atoms, fractional coordinates:
Mn: 0.2500 0.2500 0.0000  2 Pb 2.75, 2 Zn 2.75, 4 Mn 2.95-3.07
Zn: 0.0000 0.0000 0.5000  4 Mn 2.75, 2 Pb 2.95, 2 Zn 3.07
Pb: 0.0000 0.5000 0.5000  4 Mn 2.75, 2 Zn 2.95, 2 Pb 3.07

Properties
Fermi-level density of states = 3.274 states/eV/f.u.
Crystal system = monoclinic
Polymorph energy (0 for the lowest one) = 0.141 eV per atom
Energy relative to the elements = 1.9 eV per formula unit


No. 2
Material: MnZnPb2
Method: DFT, GGA-PBE
State: relaxed

Cell lengths 3.4105, 4.0519, 6.6251 Å; angles 90.00, 90.07, 90.00 degrees
Last column: nearest neighbours and their distance in Å.
Space group P2/m (No. 10)
Inequivalent atoms, fractional coordinates:
Mn: 0.0000 0.0000 0.0000  8 Pb 3.11, 2 Zn 3.31, 2 Mn 3.41
Zn: 0.0000 0.0000 0.5000  8 Pb 3.14, 2 Mn 3.31, 2 Zn 3.41
Pb: 0.5000 0.5000 0.2456  4 Mn 3.11, 4 Zn 3.14, 4 Pb 3.25-3.41

Properties
Fermi-level density of states = 2.413 states/eV/f.u.
Crystal system = monoclinic
Energy relative to the elements = 1.4 eV per formula unit


Which value of energy relative to the elements does entry 2 give? 1.4 eV per formula unit


Please write out number 1 again, unchanged.
Material: Mn2ZnPb
Method: DFT, GGA-PBE
State: relaxed

Cell lengths 5.8940, 9.0490, 3.0666 Å; angles 90.00, 117.26, 90.00 degrees
Last column: nearest neighbours and their distance in Å.
Space group C2/m (No. 12)
Inequivalent atoms, fractional coordinates:
Mn: 0.2500 0.2500 0.0000  2 Pb 2.75, 2 Zn 2.75, 4 Mn 2.95-3.07
Zn: 0.0000 0.0000 0.5000  4 Mn 2.75, 2 Pb 2.95, 2 Zn 3.07
Pb: 0.0000 0.5000 0.5000  4 Mn 2.75, 2 Zn 2.95, 2 Pb 3.07

Properties
Fermi-level density of states = 3.274 states/eV/f.u.
Crystal system = monoclinic
Polymorph energy (0 for the lowest one) = 0.141 eV per atom
Energy relative to the elements = 1.9 eV per formula unit